# AlNiW2 (PBE, relaxed)
data_AlNiW2
_symmetry_space_group_name_H-M 'P 1 m 1'
_symmetry_Int_Tables_number 6
_symmetry_space_group_name_Hall 'P -2y'
_cell_length_a 2.7363
_cell_length_b 4.2158
_cell_length_c 5.1011
_cell_angle_alpha 90.00
_cell_angle_beta 98.67
_cell_angle_gamma 90.00
loop_
_atom_site_label
_atom_site_type_symbol
_atom_site_fract_x
_atom_site_fract_y
_atom_site_fract_z
_atom_site_occupancy
Al1 Al 0.0000 0.0000 0.0000 1
Ni1 Ni 0.0454 0.5000 0.2415 1
W1 W 0.4023 0.5000 0.7595 1
W2 W 0.6314 0.0000 0.4846 1
# Calculated formation energy: -0.039 eV per atom
# Magnetic moment: 0.0 μB per formula unit
# Volume: 14.54 Å³ per atom
# Energy: -8.90 eV/atom
# Density of states at the Fermi level: 3.1 states/eV/f.u.